[1]
This record from Alexandria via LeMat-Bulk describes a relaxed structure of HIr2Br. The functional is PBE-GGA.

```
4
Lattice="2.407 0.470 3.468 2.289 3.538 0.533 -1.103 2.813 2.986" Properties=species:S:1:pos:R:3 pbc="T T T"
H 0.000 0.000 0.000
Ir 0.898 1.705 1.747
Ir 2.695 5.116 5.241
Br 1.797 3.411 3.494
```

magnetic moment = 0.00 μB/cell
energy above the most stable polymorph in this dataset = 708 meV per atom
symmetry = No. 225


[2]
This record from Alexandria via LeMat-Bulk describes a relaxed structure of HIrBr2. The functional is PBE-GGA.

```
4
Lattice="-3.616 -1.500 6.680 -1.692 -4.050 6.379 -0.551 -1.316 7.610" Properties=species:S:1:pos:R:3 pbc="T T T"
H -2.929 -3.433 10.335
Ir 0.000 0.000 0.000
Br -5.242 -6.144 18.498
Br -0.615 -0.721 2.172
```

magnetic moment = 0.00 μB/cell
energy above the most stable polymorph in this dataset = 74 meV per atom
symmetry = No. 166